# 1
Entry from Alexandria: crystalline ErMo2C at its relaxed geometry (GGA-PBE).

The structure belongs to space group R-3m (No. 166, hexagonal axes); the cell edges are 3.1223, 3.1223 and 24.0179 Å and the angles 90.00°, 90.00° and 120.00°. Symmetry generates all atoms from Er at (0.0000, 0.0000, 0.0000), Mo at (0.0000, 0.0000, 0.1196) and C at (0.0000, 0.0000, 0.5000).

The calculation puts the density of states at the Fermi level at 17.9 states/eV per cell. The value obtained for the total DFT energy (no corrections) is -8.482 eV per atom. The total moment comes out at 0.00 μB/f.u. For the calculated formation energy, the calculation gives 0.3806 eV/atom. Its mass density is 9.12 g/cm3.

***

# 2
Entry from Alexandria: crystalline Tb2Zn12GaNi3 at its relaxed geometry (GGA-PBE).

The structure belongs to space group R-3m (No. 166, hexagonal axes); the cell edges are 8.9812, 8.9812 and 12.5824 Å and the angles 90.00°, 90.00° and 120.00°. Symmetry generates all atoms from Tb at (0.0000, 0.0000, 0.2418), Zn at (0.0097, 0.5048, 0.7029), Zn at (0.0559, 0.5280, 0.1001), Ga at (0.0000, 0.0000, 0.0000) and Ni at (0.0000, 0.5000, 0.5000).

The calculation puts the density of states at the Fermi level at 23.5 states/eV per cell. The value obtained for the total DFT energy (no corrections) is -2.548 eV per atom. The total moment comes out at 0.00 μB/f.u. For the calculated formation energy, the calculation gives -0.0525 eV/atom. Its mass density is 7.64 g/cm3.

***

# 3
Entry from Alexandria: crystalline CrS2Cl2 at its relaxed geometry (GGA-PBE).

The structure belongs to space group P4/mbm (No. 127); the cell edges are 5.8268, 5.8268 and 8.1226 Å and the angles 90.00°, 90.00° and 90.00°. Symmetry generates all atoms from Cr at (0.0000, 0.0000, 0.0000), S at (0.1379, 0.3621, 0.0000) and Cl at (0.1214, 0.6214, 0.5000).

The calculation puts the density of states at the Fermi level at 3.7 states/eV per cell. The value obtained for the total DFT energy (no corrections) is -4.388 eV per atom. The total moment comes out at 2.53 μB/f.u. Its mass density is 2.25 g/cm3.

***

# 4
Entry from Alexandria: crystalline HgRh3 at its relaxed geometry (GGA-PBE).

The structure belongs to space group Pm-3n (No. 223); the cell edges are 5.0636, 5.0636 and 5.0636 Å and the angles 90.00°, 90.00° and 90.00°. Symmetry generates all atoms from Hg at (0.0000, 0.0000, 0.0000) and Rh at (0.0000, 0.2500, 0.5000).

The calculation puts the density of states at the Fermi level at 12.8 states/eV per cell. The value obtained for the total DFT energy (no corrections) is -5.194 eV per atom. The total moment comes out at 1.67 μB/f.u. For the calculated formation energy, the calculation gives 0.3955 eV/atom. Its mass density is 13.03 g/cm3.

***

# 5
Entry from Alexandria: crystalline Mg2ScIn at its relaxed geometry (GGA-PBE).

The structure belongs to space group Pmm2 (No. 25); the cell edges are 3.2083, 4.4606 and 6.3961 Å and the angles 90.00°, 90.00° and 90.00°. Symmetry generates all atoms from Mg at (0.0000, 0.0000, 0.0000), Mg at (0.5000, 0.5000, 0.2400), Sc at (0.0000, 0.0000, 0.5034) and In at (0.5000, 0.5000, 0.7339).

The calculation puts the density of states at the Fermi level at 3.5 states/eV per cell. The value obtained for the total DFT energy (no corrections) is -3.200 eV per atom. The total moment comes out at 0.15 μB/f.u. For the calculated formation energy, the calculation gives -0.1352 eV/atom. Its mass density is 3.78 g/cm3.

***

# 6
Entry from Alexandria: crystalline NbCdRhCl2 at its relaxed geometry (GGA-PBE).

The structure belongs to space group P4/mmm (No. 123); the cell edges are 4.7754, 4.7754 and 5.0163 Å and the angles 90.00°, 90.00° and 90.00°. Symmetry generates all atoms from Nb at (0.0000, 0.0000, 0.0000), Cd at (0.5000, 0.5000, 0.0000), Rh at (0.0000, 0.0000, 0.5000) and Cl at (0.0000, 0.5000, 0.5000).

The calculation puts the density of states at the Fermi level at 6.3 states/eV per cell. The value obtained for the total DFT energy (no corrections) is -3.965 eV per atom. The total moment comes out at 0.00 μB/f.u. Its mass density is 5.50 g/cm3.

***

# 7
Entry from Alexandria: crystalline Si5Pt at its relaxed geometry (GGA-PBE).

The structure belongs to space group F-43m (No. 216); the cell edges are 7.1722, 7.1722 and 7.1722 Å and the angles 90.00°, 90.00° and 90.00°. Symmetry generates all atoms from Si at (0.0000, 0.0000, 0.0000), Si at (0.1261, 0.1261, 0.6261) and Pt at (0.2500, 0.2500, 0.2500).

The calculation puts the density of states at the Fermi level at 13.8 states/eV per cell. The value obtained for the total DFT energy (no corrections) is -4.957 eV per atom. As for the energy above the most stable polymorph in this dataset: 494.1 meV per atom. The total moment comes out at 0.00 μB/f.u. Its mass density is 6.04 g/cm3.

***

# 8
Entry from Alexandria: crystalline UAgAu4 at its relaxed geometry (GGA-PBE).

The structure belongs to space group F-43m (No. 216); the cell edges are 7.8622, 7.8622 and 7.8622 Å and the angles 90.00°, 90.00° and 90.00°. Symmetry generates all atoms from U at (0.0000, 0.0000, 0.0000), Ag at (0.2500, 0.2500, 0.7500) and Au at (0.1244, 0.1244, 0.3756).

The calculation puts the density of states at the Fermi level at 55.8 states/eV per cell. The value obtained for the total DFT energy (no corrections) is -4.584 eV per atom. As for the energy above the most stable polymorph in this dataset: 72.0 meV per atom. The total moment comes out at 2.70 μB/f.u. For the calculated formation energy, the calculation gives -0.0425 eV/atom. Its mass density is 15.50 g/cm3.

***

# 9
Entry from Alexandria: crystalline Ac3La2PrTe6 at its relaxed geometry (GGA-PBE).

The structure belongs to space group C2/m (No. 12); the cell edges are 20.2829, 4.6323 and 9.3437 Å and the angles 90.00°, 103.64° and 90.00°. Symmetry generates all atoms from Ac at (0.0000, 0.0000, 0.0000), Ac at (0.1668, 0.5000, 0.3339), La at (0.1658, 0.5000, 0.8322), Pr at (0.0000, 0.0000, 0.5000), Te at (0.0016, 0.5000, 0.7430), Te at (0.1638, 0.0000, 0.5883) and Te at (0.1691, 0.0000, 0.0780).

The calculation puts the density of states at the Fermi level at 14.8 states/eV per cell. The value obtained for the total DFT energy (no corrections) is -5.335 eV per atom. The total moment comes out at 0.00 μB/f.u. Its mass density is 7.26 g/cm3.

***

# 10
Entry from Alexandria: crystalline KCdMo2 at its relaxed geometry (GGA-PBE).

The structure belongs to space group Cmm2 (No. 35); the cell edges are 3.2525, 4.9224 and 10.6878 Å and the angles 90.00°, 90.00° and 90.00°. Symmetry generates all atoms from K at (0.0000, 0.0000, 0.0000), Cd at (0.0000, 0.5000, 0.7046), Mo at (0.0000, 0.0000, 0.4674) and Mo at (0.0000, 0.5000, 0.2887).

The calculation puts the density of states at the Fermi level at 5.7 states/eV per cell. The value obtained for the total DFT energy (no corrections) is -5.314 eV per atom. The total moment comes out at 0.00 μB/f.u. For the calculated formation energy, the calculation gives 0.6052 eV/atom. Its mass density is 6.66 g/cm3.